The following is a DFT calculation (GGA-PBE) of a geometry-optimized Nd2ErGa3 structure.

## Properties
formation enthalpy at 0 K: -0.4746 eV/atom
spin magnetization: 0.000 μB per atom
raw total energy: -0.319 Ry/atom
calculated density: 7.09 g/cm3

abc: 10.763 10.763 6.300
angles: 90.00 90.00 154.74
Element x y z (fractional)
1 Nd 0.035 0.965 0.750
2 Nd 0.148 0.852 0.250
3 Nd 0.852 0.148 0.750
4 Nd 0.965 0.035 0.250
5 Er 0.326 0.674 0.250
6 Er 0.674 0.326 0.750
7 Ga 0.254 0.746 0.750
8 Ga 0.437 0.563 0.548
9 Ga 0.437 0.563 0.952
10 Ga 0.563 0.437 0.048
11 Ga 0.563 0.437 0.452
12 Ga 0.746 0.254 0.250